The following is a DFT calculation (PBE with a Hubbard U) of a geometry-optimized V2IF structure.

abc: 5.4814 5.4814 7.5518
angles: 68.72 68.72 90.00
Last column: nearest neighbours and their distance in Å.
Fractional positions:
F: 0.2500 0.7500 0.5000  4 V 2.24
I: 0.0000 0.0000 0.0000  4 V 2.93
F: 0.5000 0.5000 0.0000  4 V 2.24
I: 0.7500 0.2500 0.5000  4 V 2.93
V: 0.3750 0.4927 0.7500  2 F 2.24
V: 0.8750 0.7573 0.7500  2 F 2.24
V: 0.2427 0.6250 0.2500  2 F 2.24
V: 0.5073 0.1250 0.2500  2 F 2.24

Offset from the most stable computed form in meV per atom: 0